The following is a PBE calculation of a relaxed Co2AgCl crystal, from Alexandria.

The space group is Pmmm (No. 47) and the conventional cell measures 2.963, 4.510 and 4.637 Å, with angles of 90.00, 90.00 and 90.00 degrees. The distinct sites, in fractional coordinates, are Co at (0.000, 0.000, 0.000), Co at (0.500, 0.500, 0.000), Ag at (0.000, 0.500, 0.500) and Cl at (0.500, 0.000, 0.500).

As for the formation energy from raw total energies: 0.7400 eV per atom. The relative energy among the computed polymorphs comes out at 51.9 kJ per mole of atoms. The value obtained for the size of the total moment is 0.992 μB per atom. The calculated volume is 61.96 Å³ per cell.


The following is a PBE calculation of a relaxed UReC2 crystal, from Alexandria.

The space group is R-3m (No. 166, hexagonal axes) and the conventional cell measures 3.3670, 3.3670 and 15.0227 Å, with angles of 90.00, 90.00 and 120.00 degrees. The distinct sites, in fractional coordinates, are U at (0.0000, 0.0000, 0.0000), Re at (0.0000, 0.0000, 0.5000) and C at (0.0000, 0.0000, 0.2404).

The relative energy among the computed polymorphs comes out at 18.7 kJ per mole of atoms. The value obtained for the size of the total moment is 0.000 μB per atom. Its calculated formation energy is 19 meV per atom. The calculated volume is 147.49 Å³ per cell.


The following is a PBE calculation of a relaxed YScRe2 crystal, from Alexandria.

The space group is Pm (No. 6) and the conventional cell measures 3.098, 4.313 and 6.038 Å, with angles of 90.00, 103.81 and 90.00 degrees. The distinct sites, in fractional coordinates, are Y at (0.000, 0.000, 0.000), Sc at (0.275, 0.500, 0.690), Re at (0.529, 0.000, 0.458) and Re at (0.717, 0.500, 0.279).

The relative energy among the computed polymorphs comes out at 22.3 kJ per mole of atoms. The value obtained for the size of the total moment is 0.000 μB per atom. Its calculated formation energy is 185 meV per atom. The calculated volume is 78.34 Å³ per cell.


The following is a PBE calculation of a relaxed ZrScGa2 crystal, from Alexandria.

The space group is Amm2 (No. 38) and the conventional cell measures 3.814, 4.052 and 10.242 Å, with angles of 90.00, 90.00 and 90.00 degrees. The distinct sites, in fractional coordinates, are Zr at (0.000, 0.000, 0.000), Sc at (0.500, 0.000, 0.721), Ga at (0.000, 0.000, 0.278) and Ga at (0.500, 0.000, 0.446).

The relative energy among the computed polymorphs comes out at 0.0 kJ per mole of atoms. The value obtained for the size of the total moment is 0.000 μB per atom. Its calculated formation energy is -603 meV per atom. The calculated volume is 158.30 Å³ per cell.


The following is a PBE calculation of a relaxed MgNiHPd2 crystal, from Alexandria.

The space group is P4/mmm (No. 123) and the conventional cell measures 3.911, 3.911 and 4.009 Å, with angles of 90.00, 90.00 and 90.00 degrees. The distinct sites, in fractional coordinates, are Mg at (0.000, 0.000, 0.000), Ni at (0.500, 0.500, 0.000), H at (0.000, 0.000, 0.500) and Pd at (0.000, 0.500, 0.500).

The relative energy among the computed polymorphs comes out at 13.3 kJ per mole of atoms. The value obtained for the size of the total moment is 0.124 μB per atom. The calculated volume is 61.32 Å³ per cell.


The following is a PBE calculation of a relaxed Ca2NiSe crystal, from Alexandria.

The space group is F-43m (No. 216) and the conventional cell measures 7.064, 7.064 and 7.064 Å, with angles of 90.00, 90.00 and 90.00 degrees. The distinct sites, in fractional coordinates, are Ca at (0.000, 0.000, 0.000), Ca at (0.250, 0.250, 0.250), Ni at (0.000, 0.000, 0.500) and Se at (0.250, 0.250, 0.750).

As for the formation energy from raw total energies: -0.1458 eV per atom. The value obtained for the size of the total moment is 0.000 μB per atom. The calculated volume is 352.50 Å³ per cell.


The following is a PBE calculation of a relaxed CoPt2Br crystal, from Alexandria.

The space group is I-4m2 (No. 119) and the conventional cell measures 4.336, 4.336 and 6.950 Å, with angles of 90.00, 90.00 and 90.00 degrees. The distinct sites, in fractional coordinates, are Co at (0.000, 0.000, 0.000), Pt at (0.000, 0.000, 0.500), Pt at (0.000, 0.500, 0.750) and Br at (0.000, 0.500, 0.250).

As for the formation energy from raw total energies: 0.6885 eV per atom. The relative energy among the computed polymorphs comes out at 38.2 kJ per mole of atoms. The value obtained for the size of the total moment is 0.661 μB per atom. The calculated volume is 130.64 Å³ per cell.


The following is a PBE calculation of a relaxed ReSnTe2 crystal, from Alexandria.

The space group is R-3m (No. 166, hexagonal axes) and the conventional cell measures 3.0928, 3.0928 and 37.2851 Å, with angles of 90.00, 90.00 and 120.00 degrees. The distinct sites, in fractional coordinates, are Re at (0.0000, 0.0000, 0.0000), Sn at (0.0000, 0.0000, 0.5000) and Te at (0.0000, 0.0000, 0.0712).

As for the formation energy from raw total energies: 0.7658 eV per atom. The value obtained for the size of the total moment is 0.000 μB per atom. The calculated volume is 308.87 Å³ per cell.


calculated volume of number 7 (CoPt2Br)? 130.64 Å³ per cell